(1)
LaSc2Pb GGA-PBE optimized geometry; formation energy = -0.0762 eV/atom; space-group type = R3m; VASP energy = -5.401 eV/atom; DOS at the Fermi energy = 5.55 states/eV per cell; total magnetization = 0.8 μB per cell
1.0
2.5093 1.4487 5.4981
-2.5093 1.4487 5.4981
0.0000 -2.8974 5.4981
La Sc Pb
1 2 1
direct
0.0000 0.0000 0.0000
0.2148 0.2148 0.2148
0.4568 0.4568 0.4568
0.7904 0.7904 0.7904

---

(2)
La2ScPb GGA-PBE optimized geometry; formation energy = -0.2150 eV/atom; space-group type = Pmm2; VASP energy = -5.189 eV/atom; DOS at the Fermi energy = 5.22 states/eV per cell; total magnetization = 0.0 μB per cell
1.0
3.5827 0.0000 0.0000
0.0000 4.6175 0.0000
0.0000 0.0000 7.0682
La Sc Pb
2 1 1
direct
0.0000 0.0000 0.0000
0.5000 0.5000 0.2353
0.5000 0.5000 0.7228
0.0000 0.0000 0.5130

---

(3)
La2ScPb GGA-PBE optimized geometry; formation energy = -0.2741 eV/atom; space-group type = Pm; VASP energy = -5.248 eV/atom; DOS at the Fermi energy = 6.09 states/eV per cell; total magnetization = 0.0 μB per cell
1.0
3.6685 0.0000 0.0000
0.0000 5.4737 0.0000
-0.0116 0.0000 6.0575
La Sc Pb
2 1 1
direct
0.0000 0.0000 0.0000
0.0038 0.5000 0.6449
0.5025 0.0000 0.4739
0.5015 0.5000 0.1710

---

(4)
La2ScPb GGA-PBE optimized geometry; formation energy = -0.1941 eV/atom; space-group type = P4mm; VASP energy = -5.168 eV/atom; DOS at the Fermi energy = 5.45 states/eV per cell; total magnetization = 0.0 μB per cell
1.0
3.6320 0.0000 0.0000
0.0000 3.6320 0.0000
0.0000 0.0000 9.3393
La Sc Pb
2 1 1
direct
0.0000 0.0000 0.0000
0.5000 0.5000 0.3037
0.5000 0.5000 0.7569
0.0000 0.0000 0.5572

---

(5)
La2ScPb GGA-PBE optimized geometry; formation energy = -0.1240 eV/atom; space-group type = F-43m; VASP energy = -5.098 eV/atom; DOS at the Fermi energy = 6.77 states/eV per cell; total magnetization = 0.0 μB per cell
1.0
0.0000 3.8897 3.8897
3.8897 0.0000 3.8897
3.8897 3.8897 0.0000
La Sc Pb
2 1 1
direct
0.0000 0.0000 0.0000
0.2500 0.2500 0.2500
0.7500 0.7500 0.7500
0.5000 0.5000 0.5000

---

(6)
LaSc2Pb GGA-PBE optimized geometry; formation energy = -0.1166 eV/atom; space-group type = F-43m; VASP energy = -5.441 eV/atom; DOS at the Fermi energy = 6.74 states/eV per cell; total magnetization = 0.0 μB per cell
1.0
0.0000 3.7917 3.7917
3.7917 0.0000 3.7917
3.7917 3.7917 0.0000
La Sc Pb
1 2 1
direct
0.0000 0.0000 0.0000
0.5000 0.5000 0.5000
0.7500 0.7500 0.7500
0.2500 0.2500 0.2500

---

(7)
La2ScPb GGA-PBE optimized geometry; formation energy = -0.3107 eV/atom; space-group type = P4/mmm; VASP energy = -5.284 eV/atom; DOS at the Fermi energy = 4.83 states/eV per cell; total magnetization = 0.0 μB per cell
1.0
4.8728 0.0000 0.0000
0.0000 4.8728 0.0000
0.0000 0.0000 5.0174
La Sc Pb
2 1 1
direct
0.0000 0.5000 0.0000
0.5000 0.0000 0.0000
0.0000 0.0000 0.5000
0.5000 0.5000 0.5000

---

(8)
LaSc2Pb GGA-PBE optimized geometry; formation energy = -0.1847 eV/atom; space-group type = I4/mmm; VASP energy = -5.509 eV/atom; DOS at the Fermi energy = 5.57 states/eV per cell; total magnetization = 0.0 μB per cell
1.0
-2.3677 2.3677 4.8344
2.3677 -2.3677 4.8344
2.3677 2.3677 -4.8344
La Sc Pb
1 2 1
direct
0.0000 0.0000 0.0000
0.2500 0.7500 0.5000
0.7500 0.2500 0.5000
0.5000 0.5000 0.0000

---

(9)
La2ScPb GGA-PBE optimized geometry; formation energy = -0.2519 eV/atom; space-group type = Cm; VASP energy = -5.226 eV/atom; DOS at the Fermi energy = 5.09 states/eV per cell; total magnetization = 0.0 μB per cell
1.0
6.2791 -1.8135 0.0000
6.2791 1.8135 0.0000
-2.6703 0.0000 5.3477
La Sc Pb
2 1 1
direct
0.0000 0.0000 0.0000
0.2223 0.2223 0.8530
0.7592 0.7592 0.3907
0.4788 0.4788 0.4567

---

(10)
La2ScPb GGA-PBE optimized geometry; formation energy = 0.0078 eV/atom; space-group type = I-42d; VASP energy = -4.966 eV/atom; DOS at the Fermi energy = 11.92 states/eV per cell; total magnetization = 0.0 μB per cell
1.0
-4.5148 4.5148 3.1474
4.5148 -4.5148 3.1474
4.5148 4.5148 -3.1474
La Sc Pb
4 2 2
direct
0.1157 0.1250 0.4907
0.3750 0.8843 0.0093
0.6343 0.6250 0.5093
0.8750 0.3657 0.9907
0.2500 0.7500 0.5000
0.5000 0.5000 0.0000
0.0000 0.0000 0.0000
0.7500 0.2500 0.5000

---

(11)
La14ScPb GGA-PBE optimized geometry; formation energy = -0.0718 eV/atom; space-group type = Amm2; VASP energy = -5.011 eV/atom; DOS at the Fermi energy = 22.65 states/eV per cell; total magnetization = 0.0 μB per cell
1.0
10.4440 0.0000 0.0000
0.0000 5.1563 5.1566
0.0000 -5.1563 5.1566
La Sc Pb
14 1 1
direct
0.0000 0.0000 0.0000
0.0000 0.9997 0.4997
0.0000 0.4985 0.4985
0.0000 0.4997 0.9997
0.2563 0.7502 0.7502
0.2570 0.2490 0.2490
0.2567 0.2491 0.7503
0.2567 0.7503 0.2491
0.5000 0.9995 0.5000
0.5000 0.5000 0.9995
0.7430 0.2490 0.2490
0.7433 0.2491 0.7503
0.7433 0.7503 0.2491
0.7437 0.7502 0.7502
0.5000 0.4998 0.4998
0.5000 0.9996 0.9996

---

(12)
La2ScPb GGA-PBE optimized geometry; formation energy = -0.2818 eV/atom; space-group type = Imm2; VASP energy = -5.255 eV/atom; DOS at the Fermi energy = 4.41 states/eV per cell; total magnetization = 0.0 μB per cell
1.0
-2.4085 2.4413 5.0749
2.4085 -2.4413 5.0749
2.4085 2.4413 -5.0749
La Sc Pb
2 1 1
direct
0.0000 0.0000 0.0000
0.7481 0.2481 0.5000
0.4956 0.4956 0.0000
0.2511 0.7511 0.5000

---

(13)
La2ScPb GGA-PBE optimized geometry; formation energy = -0.2710 eV/atom; space-group type = P4/mmm; VASP energy = -5.245 eV/atom; DOS at the Fermi energy = 3.08 states/eV per cell; total magnetization = 0.0 μB per cell
1.0
4.3402 0.0000 0.0000
0.0000 4.3402 0.0000
0.0000 0.0000 6.6528
La Sc Pb
2 1 1
direct
0.0000 0.0000 0.2375
0.0000 0.0000 0.7625
0.5000 0.5000 0.5000
0.5000 0.5000 0.0000

---

(14)
LaSc2Pb2 GGA-PBE optimized geometry; formation energy = -0.3600 eV/atom; space-group type = P4/mbm; VASP energy = -5.361 eV/atom; excess energy over the best structure of this formula in the dataset = 0.27 eV/f.u.; DOS at the Fermi energy = 8.35 states/eV per cell; total magnetization = 1.9 μB per cell
1.0
8.8791 0.0000 0.0000
0.0000 8.8791 0.0000
0.0000 0.0000 3.3785
La Sc Pb
2 4 4
direct
0.0000 0.0000 0.0000
0.5000 0.5000 0.0000
0.1219 0.3781 0.0000
0.3781 0.8781 0.0000
0.6219 0.1219 0.0000
0.8781 0.6219 0.0000
0.1740 0.6740 0.5000
0.3260 0.1740 0.5000
0.6740 0.8260 0.5000
0.8260 0.3260 0.5000

---

(15)
LaScPb3 GGA-PBE optimized geometry; formation energy = -0.0806 eV/atom; space-group type = Pm-3m; VASP energy = -4.557 eV/atom; excess energy over the best structure of this formula in the dataset = 0.00 eV/f.u.; DOS at the Fermi energy = 2.36 states/eV per cell; total magnetization = 0.0 μB per cell
1.0
5.5251 0.0000 0.0000
0.0000 5.5251 0.0000
0.0000 0.0000 5.5251
La Sc Pb
1 1 3
direct
0.0000 0.0000 0.0000
0.5000 0.5000 0.5000
0.0000 0.5000 0.5000
0.5000 0.0000 0.5000
0.5000 0.5000 0.0000

---

(16)
LaSc2Pb GGA-PBE optimized geometry; formation energy = -0.2273 eV/atom; space-group type = I-4m2; VASP energy = -5.552 eV/atom; DOS at the Fermi energy = 5.87 states/eV per cell; total magnetization = 0.0 μB per cell
1.0
-2.3090 2.3090 5.0593
2.3090 -2.3090 5.0593
2.3090 2.3090 -5.0593
La Sc Pb
1 2 1
direct
0.0000 0.0000 0.0000
0.5000 0.5000 0.0000
0.7500 0.2500 0.5000
0.2500 0.7500 0.5000

---

(17)
LaSc2Pb GGA-PBE optimized geometry; formation energy = 0.1146 eV/atom; space-group type = R-3m; VASP energy = -5.210 eV/atom; DOS at the Fermi energy = 2.47 states/eV per cell; total magnetization = 0.0 μB per cell
1.0
1.7183 0.9921 11.5194
-1.7183 0.9921 11.5194
0.0000 -1.9841 11.5194
La Sc Pb
1 2 1
direct
0.0000 0.0000 0.0000
0.4131 0.4131 0.4131
0.5869 0.5869 0.5869
0.5000 0.5000 0.5000

---

(18)
La9ScPb2 GGA-PBE optimized geometry; formation energy = -0.2299 eV/atom; space-group type = P4/mmm; VASP energy = -5.071 eV/atom; DOS at the Fermi energy = 16.52 states/eV per cell; total magnetization = 0.0 μB per cell
1.0
5.0820 0.0000 0.0000
0.0000 5.0820 0.0000
0.0000 0.0000 15.3956
La Sc Pb
9 1 2
direct
0.0000 0.0000 0.0000
0.0000 0.0000 0.3332
0.0000 0.0000 0.6668
0.0000 0.5000 0.1672
0.0000 0.5000 0.5000
0.0000 0.5000 0.8328
0.5000 0.0000 0.1672
0.5000 0.0000 0.5000
0.5000 0.0000 0.8328
0.5000 0.5000 0.0000
0.5000 0.5000 0.3351
0.5000 0.5000 0.6649

---

(19)
La5ScPb4 GGA-PBE optimized geometry; formation energy = -0.3843 eV/atom; space-group type = C2/m; VASP energy = -4.965 eV/atom; DOS at the Fermi energy = 7.81 states/eV per cell; total magnetization = 0.0 μB per cell
1.0
8.6107 -2.7410 0.0000
8.6107 2.7410 0.0000
-0.1693 0.0000 7.3751
La Sc Pb
5 1 4
direct
0.0000 0.0000 0.0000
0.3334 0.3334 0.4964
0.3340 0.3340 0.9966
0.6660 0.6660 0.0034
0.6666 0.6666 0.5036
0.0000 0.0000 0.5000
0.1697 0.1697 0.7458
0.4939 0.4939 0.7345
0.5061 0.5061 0.2655
0.8303 0.8303 0.2542

---

(20)
La4ScPb2 GGA-PBE optimized geometry; formation energy = -0.3357 eV/atom; space-group type = Cmmm; VASP energy = -5.115 eV/atom; DOS at the Fermi energy = 9.43 states/eV per cell; total magnetization = 0.0 μB per cell
1.0
4.5530 -5.2423 0.0000
4.5530 5.2423 0.0000
0.0000 0.0000 4.8927
La Sc Pb
4 1 2
direct
0.0000 0.5000 0.5000
0.2074 0.2074 0.0000
0.5000 0.0000 0.5000
0.7926 0.7926 0.0000
0.5000 0.5000 0.5000
0.2930 0.7070 0.0000
0.7070 0.2930 0.0000

---

(21)
La2ScPb GGA-PBE optimized geometry; formation energy = -0.2637 eV/atom; space-group type = I4/mmm; VASP energy = -5.237 eV/atom; DOS at the Fermi energy = 6.20 states/eV per cell; total magnetization = 0.0 μB per cell
1.0
-2.4096 2.4096 5.1958
2.4096 -2.4096 5.1958
2.4096 2.4096 -5.1958
La Sc Pb
2 1 1
direct
0.2500 0.7500 0.5000
0.7500 0.2500 0.5000
0.0000 0.0000 0.0000
0.5000 0.5000 0.0000

---

(22)
LaScPb3 GGA-PBE optimized geometry; formation energy = 0.7056 eV/atom; space-group type = Pm-3m; VASP energy = -3.771 eV/atom; excess energy over the best structure of this formula in the dataset = 3.93 eV/f.u.; DOS at the Fermi energy = 2.64 states/eV per cell; total magnetization = 0.0 μB per cell
1.0
5.9683 0.0000 0.0000
0.0000 5.9683 0.0000
0.0000 0.0000 5.9683
La Sc Pb
1 1 3
direct
0.0000 0.0000 0.0000
0.5000 0.5000 0.5000
0.0000 0.0000 0.5000
0.0000 0.5000 0.0000
0.5000 0.0000 0.0000

---

(23)
LaSc2Pb GGA-PBE optimized geometry; formation energy = -0.2477 eV/atom; space-group type = P4/mmm; VASP energy = -5.572 eV/atom; DOS at the Fermi energy = 7.08 states/eV per cell; total magnetization = 0.3 μB per cell
1.0
4.8157 0.0000 0.0000
0.0000 4.8157 0.0000
0.0000 0.0000 4.6219
La Sc Pb
1 2 1
direct
0.0000 0.0000 0.0000
0.0000 0.5000 0.5000
0.5000 0.0000 0.5000
0.5000 0.5000 0.0000

---

(24)
LaSc2Pb GGA-PBE optimized geometry; formation energy = -0.1127 eV/atom; space-group type = C2/m; VASP energy = -5.437 eV/atom; DOS at the Fermi energy = 5.21 states/eV per cell; total magnetization = 0.0 μB per cell
1.0
3.3290 -5.4066 0.0000
3.3290 5.4066 0.0000
-1.4854 0.0000 3.0772
La Sc Pb
1 2 1
direct
0.0000 0.0000 0.0000
0.0000 0.5000 0.5000
0.5000 0.0000 0.5000
0.5000 0.5000 0.0000

---

(25)
LaSc2Pb GGA-PBE optimized geometry; formation energy = -0.1658 eV/atom; space-group type = Cm; VASP energy = -5.490 eV/atom; DOS at the Fermi energy = 4.89 states/eV per cell; total magnetization = 0.0 μB per cell
1.0
6.1584 -1.7220 0.0000
6.1584 1.7220 0.0000
-2.4737 0.0000 5.1275
La Sc Pb
1 2 1
direct
0.0000 0.0000 0.0000
0.5219 0.5219 0.5298
0.7733 0.7733 0.1311
0.2523 0.2523 0.5882

---

(26)
LaSc3Pb2 GGA-PBE optimized geometry; formation energy = -0.3354 eV/atom; space-group type = C2/m; VASP energy = -5.559 eV/atom; DOS at the Fermi energy = 13.18 states/eV per cell; total magnetization = 1.1 μB per cell
1.0
9.1719 -2.3105 0.0000
9.1719 2.3105 0.0000
-4.5831 0.0000 8.0747
La Sc Pb
2 6 4
direct
0.1343 0.1343 0.0799
0.8657 0.8657 0.9201
0.0535 0.0535 0.4011
0.3100 0.3100 0.5339
0.4095 0.4095 0.3266
0.5905 0.5905 0.6734
0.6900 0.6900 0.4661
0.9465 0.9465 0.5989
0.2133 0.2133 0.7397
0.4822 0.4822 0.8258
0.5178 0.5178 0.1742
0.7867 0.7867 0.2603

---

(27)
LaSc4Pb GGA-PBE optimized geometry; formation energy = 0.0933 eV/atom; space-group type = F-43m; VASP energy = -5.567 eV/atom; DOS at the Fermi energy = 7.77 states/eV per cell; total magnetization = 2.4 μB per cell
1.0
0.0000 4.3566 4.3566
4.3566 0.0000 4.3566
4.3566 4.3566 0.0000
La Sc Pb
1 4 1
direct
0.0000 0.0000 0.0000
0.3744 0.3744 0.3744
0.3744 0.3744 0.8767
0.3744 0.8767 0.3744
0.8767 0.3744 0.3744
0.7500 0.7500 0.7500